# 1
DFT (PBE) results for a relaxed SrYSe2 crystal.

The structure in CIF format:
```
data_SrYSe2
_chemical_formula_sum 'Sr1 Y1 Se2'
_space_group_name_H-M_alt 'P 1'
_space_group_IT_number 1
_space_group_name_Hall 'P 1'
_cell_length_a 9.006
_cell_length_b 9.006
_cell_length_c 9.006
_cell_angle_alpha 29.18
_cell_angle_beta 29.18
_cell_angle_gamma 29.18
loop_
_atom_site_label
_atom_site_fract_x
_atom_site_fract_y
_atom_site_fract_z
Sr1 0.000 0.000 0.000
Y1 0.500 0.500 0.500
Se1 0.398 0.398 0.398
Se2 0.602 0.602 0.602
```

Values from the calculation:
Offset from the most stable computed form, eV per formula unit: 2.47
Symmetry: No. 166
Formation energy without anion corrections, meV/atom: -1273
Calculated total energy, eV per atom: -5.05
Crystal system: trigonal
Total magnetization, μB/cell: 0.002

# 2
DFT (PBE) results for a relaxed SrY2Se crystal.

The structure in CIF format:
```
data_SrY2Se
_chemical_formula_sum 'Sr1 Y2 Se1'
_space_group_name_H-M_alt 'P 1'
_space_group_IT_number 1
_space_group_name_Hall 'P 1'
_cell_length_a 3.780
_cell_length_b 3.780
_cell_length_c 8.887
_cell_angle_alpha 90.00
_cell_angle_beta 90.00
_cell_angle_gamma 90.00
loop_
_atom_site_label
_atom_site_fract_x
_atom_site_fract_y
_atom_site_fract_z
Sr1 0.000 0.000 0.000
Y1 0.000 0.000 0.587
Y2 0.500 0.500 0.329
Se1 0.500 0.500 0.739
```

Values from the calculation:
Symmetry: No. 99
Formation energy without anion corrections, meV/atom: -733
Calculated total energy, eV per atom: -5.26
Crystal system: tetragonal
Total magnetization, μB/cell: 0.314

# 3
DFT (PBE) results for a relaxed SrYSe2 crystal.

The structure in CIF format:
```
data_SrYSe2
_chemical_formula_sum 'Sr1 Y1 Se2'
_space_group_name_H-M_alt 'P 1'
_space_group_IT_number 1
_space_group_name_Hall 'P 1'
_cell_length_a 7.766
_cell_length_b 7.766
_cell_length_c 7.766
_cell_angle_alpha 30.94
_cell_angle_beta 30.94
_cell_angle_gamma 30.94
loop_
_atom_site_label
_atom_site_fract_x
_atom_site_fract_y
_atom_site_fract_z
Sr1 0.000 0.000 0.000
Y1 0.174 0.174 0.174
Se1 0.580 0.580 0.580
Se2 0.762 0.762 0.762
```

Values from the calculation:
Offset from the most stable computed form, eV per formula unit: 0.28
Symmetry: No. 160
Formation energy without anion corrections, meV/atom: -1823
Calculated total energy, eV per atom: -5.60
Crystal system: trigonal
Total magnetization, μB/cell: 0.000